This record from Alexandria describes a relaxed structure of CdMoOs. The functional is PBE.

Geometry as CIF:
```
data_CdMoOs
_chemical_formula_sum 'Cd1 Mo1 Os1'
_cell_length_a 2.8405
_cell_length_b 2.8405
_cell_length_c 7.1662
_cell_angle_alpha 90.00
_cell_angle_beta 90.00
_cell_angle_gamma 120.00
_symmetry_space_group_name_H-M 'P 3 m 1'
_symmetry_Int_Tables_number 156
loop_
_symmetry_equiv_pos_as_xyz
'x,y,z'
'-y,x-y,z'
'-x+y,-x,z'
'-y,-x,z'
'-x+y,y,z'
'x,x-y,z'
loop_
_atom_site_label
_atom_site_type_symbol
_atom_site_fract_x
_atom_site_fract_y
_atom_site_fract_z
_atom_site_occupancy
Cd1 Cd 0.0000 0.0000 0.0000 1
Mo1 Mo 0.6667 0.3333 0.3616 1
Os1 Os 0.3333 0.6667 0.6489 1
```

Summary:
calculated formation energy: 0.265 eV/atom
energy above the lowest structure with this stoichiometry: 0.0 meV/atom
N(E_F): 0.5025 states/eV/atom
final energy: -7.3942 eV per atom
crystal system: trigonal


This record from Alexandria describes a relaxed structure of CdMoOs. The functional is PBE.

Geometry as CIF:
```
data_CdMoOs
_chemical_formula_sum 'Cd4 Mo4 Os4'
_cell_length_a 3.001
_cell_length_b 4.640
_cell_length_c 14.515
_cell_angle_alpha 90.00
_cell_angle_beta 90.00
_cell_angle_gamma 90.00
_symmetry_space_group_name_H-M 'F m m 2'
_symmetry_Int_Tables_number 42
_symmetry_space_group_name_Hall 'F 2 -2'
loop_
_atom_site_label
_atom_site_type_symbol
_atom_site_fract_x
_atom_site_fract_y
_atom_site_fract_z
_atom_site_occupancy
Cd1 Cd 0.000 0.000 0.000 1
Mo1 Mo 0.000 0.000 0.322 1
Os1 Os 0.000 0.000 0.676 1
```

Summary:
calculated formation energy: 0.443 eV/atom
energy above the lowest structure with this stoichiometry: 178.8 meV/atom
N(E_F): 0.6927 states/eV/atom
final energy: -7.2153 eV per atom
crystal system: orthorhombic


This record from Alexandria describes a relaxed structure of CdMo3Os. The functional is PBE.

Geometry as CIF:
```
data_CdMo3Os
_chemical_formula_sum 'Cd1 Mo3 Os1'
_cell_length_a 4.765
_cell_length_b 4.765
_cell_length_c 4.765
_cell_angle_alpha 90.00
_cell_angle_beta 90.00
_cell_angle_gamma 90.00
_symmetry_space_group_name_H-M 'P m -3 m'
_symmetry_Int_Tables_number 221
_symmetry_space_group_name_Hall '-P 4 2 3'
loop_
_atom_site_label
_atom_site_type_symbol
_atom_site_fract_x
_atom_site_fract_y
_atom_site_fract_z
_atom_site_occupancy
Cd1 Cd 0.000 0.000 0.000 1
Mo1 Mo 0.000 0.500 0.500 1
Os1 Os 0.500 0.500 0.500 1
```

Summary:
calculated formation energy: 1.487 eV/atom
energy above the lowest structure with this stoichiometry: 0.0 meV/atom
N(E_F): 1.0833 states/eV/atom
final energy: -7.4404 eV per atom
crystal system: cubic


This record from Alexandria describes a relaxed structure of TaCd2MoOs. The functional is PBE.

Geometry as CIF:
```
data_TaCd2MoOs
_chemical_formula_sum 'Ta1 Cd2 Mo1 Os1'
_cell_length_a 5.274
_cell_length_b 5.274
_cell_length_c 4.673
_cell_angle_alpha 90.00
_cell_angle_beta 90.00
_cell_angle_gamma 90.00
_symmetry_space_group_name_H-M 'P 4/m m m'
_symmetry_Int_Tables_number 123
_symmetry_space_group_name_Hall '-P 4 2'
loop_
_atom_site_label
_atom_site_type_symbol
_atom_site_fract_x
_atom_site_fract_y
_atom_site_fract_z
_atom_site_occupancy
Ta1 Ta 0.000 0.000 0.000 1
Cd1 Cd 0.000 0.500 0.000 1
Mo1 Mo 0.500 0.500 0.500 1
Os1 Os 0.000 0.000 0.500 1
```

Summary:
calculated formation energy: 1.959 eV/atom
N(E_F): 0.8221 states/eV/atom
final energy: -5.1894 eV per atom
crystal system: tetragonal


This record from Alexandria describes a relaxed structure of CdMo2OsW. The functional is PBE.

Geometry as CIF:
```
data_CdMo2OsW
_chemical_formula_sum 'Cd1 Mo2 Os1 W1'
_cell_length_a 4.765
_cell_length_b 4.765
_cell_length_c 4.780
_cell_angle_alpha 90.00
_cell_angle_beta 90.00
_cell_angle_gamma 90.00
_symmetry_space_group_name_H-M 'P 4/m m m'
_symmetry_Int_Tables_number 123
_symmetry_space_group_name_Hall '-P 4 2'
loop_
_atom_site_label
_atom_site_type_symbol
_atom_site_fract_x
_atom_site_fract_y
_atom_site_fract_z
_atom_site_occupancy
Cd1 Cd 0.000 0.000 0.000 1
Mo1 Mo 0.000 0.500 0.500 1
Os1 Os 0.500 0.500 0.500 1
W1 W 0.500 0.500 0.000 1
```

Summary:
calculated formation energy: 1.612 eV/atom
N(E_F): 1.1413 states/eV/atom
final energy: -7.7404 eV per atom
crystal system: tetragonal


This record from Alexandria describes a relaxed structure of Zn2CdMoOs. The functional is PBE.

Geometry as CIF:
```
data_Zn2CdMoOs
_chemical_formula_sum 'Zn2 Cd1 Mo1 Os1'
_cell_length_a 4.820
_cell_length_b 4.820
_cell_length_c 4.790
_cell_angle_alpha 90.00
_cell_angle_beta 90.00
_cell_angle_gamma 90.00
_symmetry_space_group_name_H-M 'P 4/m m m'
_symmetry_Int_Tables_number 123
_symmetry_space_group_name_Hall '-P 4 2'
loop_
_atom_site_label
_atom_site_type_symbol
_atom_site_fract_x
_atom_site_fract_y
_atom_site_fract_z
_atom_site_occupancy
Zn1 Zn 0.000 0.500 0.000 1
Cd1 Cd 0.000 0.000 0.500 1
Mo1 Mo 0.500 0.500 0.500 1
Os1 Os 0.500 0.500 0.000 1
```

Summary:
calculated formation energy: 0.890 eV/atom
N(E_F): 0.5621 states/eV/atom
final energy: -4.2145 eV per atom
crystal system: tetragonal


This record from Alexandria describes a relaxed structure of CdMoP2. The functional is PBE.

Geometry as CIF:
```
data_CdMoP2
_chemical_formula_sum 'Cd2 Mo2 P4'
_cell_length_a 13.611
_cell_length_b 3.120
_cell_length_c 3.497
_cell_angle_alpha 90.00
_cell_angle_beta 90.09
_cell_angle_gamma 90.00
_symmetry_space_group_name_H-M 'C 1 m 1'
_symmetry_Int_Tables_number 8
loop_
_symmetry_equiv_pos_as_xyz
'x,y,z'
'x,-y,z'
'x+1/2,y+1/2,z'
'x+1/2,-y+1/2,z'
loop_
_atom_site_label
_atom_site_type_symbol
_atom_site_fract_x
_atom_site_fract_y
_atom_site_fract_z
_atom_site_occupancy
Cd1 Cd 0.000 0.000 0.000 1
Mo1 Mo 0.258 0.500 0.498 1
P1 P 0.190 0.000 0.998 1
P2 P 0.394 0.000 0.499 1
```

Summary:
calculated formation energy: -0.046 eV/atom
N(E_F): 0.5419 states/eV/atom
final energy: -5.6876 eV per atom
crystal system: monoclinic


This record from Alexandria describes a relaxed structure of CdMoP2. The functional is PBE.

Geometry as CIF:
```
data_CdMoP2
_chemical_formula_sum 'Cd3 Mo3 P6'
_cell_length_a 3.0904
_cell_length_b 3.0904
_cell_length_c 23.9935
_cell_angle_alpha 90.00
_cell_angle_beta 90.00
_cell_angle_gamma 120.00
_symmetry_space_group_name_H-M 'R 3 m'
_symmetry_Int_Tables_number 160
_symmetry_space_group_name_Hall 'R 3 -2"'
loop_
_atom_site_label
_atom_site_type_symbol
_atom_site_fract_x
_atom_site_fract_y
_atom_site_fract_z
_atom_site_occupancy
Cd1 Cd 0.0000 0.0000 0.0000 1
Mo1 Mo 0.0000 0.0000 0.2342 1
P1 P 0.0000 0.0000 0.4975 1
P2 P 0.0000 0.0000 0.7622 1
```

Summary:
calculated formation energy: 0.254 eV/atom
N(E_F): 0.8195 states/eV/atom
final energy: -5.3874 eV per atom
crystal system: trigonal